[1]
Here is a relaxed Nd2TlCu crystal from the Alexandria database. Energies are from PBE.

Results
The calculation puts the calculated total energy at -3.863 eV per atom. Its space group is R-3m (166). As for the formation energy: 136 meV/atom. For the density, the calculation gives 7.55 g cm⁻³.

Unit cell a=11.081 b=11.081 c=11.081 alpha=18.71 beta=18.71 gamma=18.71
Positions (direct):
Nd: 0.103 0.103 0.103
Nd: 0.897 0.897 0.897
Tl: 0.000 0.000 0.000
Cu: 0.500 0.500 0.500

---

[2]
Here is a relaxed Nd4Tl3Cu crystal from the Alexandria database. Energies are from PBE.

Results
The calculation puts the calculated total energy at -4.040 eV per atom. Its space group is Pmm2 (25). As for the formation energy: -256 meV/atom. The value obtained for the energy above the most stable polymorph in this dataset is 65 meV/atom. For the density, the calculation gives 8.84 g cm⁻³.

Unit cell a=3.949 b=4.926 c=12.101 alpha=90.00 beta=90.00 gamma=90.00
Positions (direct):
Nd: 0.000 0.000 0.000
Nd: 0.000 0.500 0.273
Nd: 0.500 0.000 0.463
Nd: 0.500 0.500 0.780
Tl: 0.000 0.000 0.715
Tl: 0.000 0.500 0.544
Tl: 0.500 0.500 0.053
Cu: 0.500 0.000 0.205

---

Number 1: size of the total moment 0.00 Bohr magnetons per cell. Number 2: size of the total moment 0.00 Bohr magnetons per cell.